Entry 1:
A plane-wave DFT calculation with SCAN was carried out for a PBEsol-optimized structure of La2ZrPb.

Values from the calculation:
* formation energy from the elements: -0.271 eV/atom
* total magnetic moment: 0.000 μB/cell

a b c (Å): 3.920 3.920 7.158
angles (deg): 90.00 90.00 90.00
Fractional coordinates of all 4 atoms:
La  0.000  0.000  0.000
La  0.500  0.500  0.286
Zr  0.500  0.500  0.722
Pb  0.000  0.000  0.538


Entry 2:
A plane-wave DFT calculation with SCAN was carried out for a PBEsol-optimized structure of La2ZrPb.

Values from the calculation:
* formation energy from the elements: -0.238 eV/atom
* total magnetic moment: 0.000 μB/cell

a b c (Å): 6.034 6.034 6.034
angles (deg): 134.11 134.11 66.92
Fractional coordinates of all 4 atoms:
La  0.250  0.750  0.500
La  0.750  0.250  0.500
Zr  0.000  0.000  0.000
Pb  0.500  0.500  0.000


Entry 3:
A plane-wave DFT calculation with SCAN was carried out for a PBEsol-optimized structure of La2ZrPb.

Values from the calculation:
* formation energy from the elements: -0.078 eV/atom
* total magnetic moment: 0.000 μB/cell

a b c (Å): 11.322 11.322 11.322
angles (deg): 17.62 17.62 17.62
Fractional coordinates of all 4 atoms:
La  0.248  0.248  0.248
La  0.752  0.752  0.752
Zr  0.500  0.500  0.500
Pb  0.000  0.000  0.000


Entry 4:
A plane-wave DFT calculation with SCAN was carried out for a PBEsol-optimized structure of LaPd3.

Values from the calculation:
* formation energy from the elements: -0.829 eV/atom
* total magnetic moment: 0.000 μB/cell

a b c (Å): 4.146 4.146 4.146
angles (deg): 90.00 90.00 90.00
Fractional coordinates of all 4 atoms:
La  0.000  0.000  0.000
Pd  0.000  0.500  0.500
Pd  0.500  0.000  0.500
Pd  0.500  0.500  0.000


Entry 5:
A plane-wave DFT calculation with SCAN was carried out for a PBEsol-optimized structure of LaPd.

Values from the calculation:
* formation energy from the elements: -0.911 eV/atom
* total magnetic moment: 0.000 μB/cell

a b c (Å): 5.788 5.788 4.586
angles (deg): 90.00 90.00 140.45
Fractional coordinates of all 4 atoms:
La  0.135  0.865  0.750
La  0.865  0.135  0.250
Pd  0.413  0.587  0.750
Pd  0.587  0.413  0.250


Entry 6:
A plane-wave DFT calculation with SCAN was carried out for a PBEsol-optimized structure of La3Pd4.

Values from the calculation:
* formation energy from the elements: -0.905 eV/atom
* total magnetic moment: 0.000 μB/cell

a b c (Å): 8.170 8.170 8.170
angles (deg): 114.68 114.68 114.68
Fractional coordinates of all 14 atoms:
La  0.030  0.283  0.406
La  0.283  0.406  0.030
La  0.406  0.030  0.283
La  0.594  0.970  0.717
La  0.717  0.594  0.970
La  0.970  0.717  0.594
Pd  0.000  0.000  0.000
Pd  0.056  0.557  0.220
Pd  0.220  0.056  0.557
Pd  0.443  0.780  0.944
Pd  0.500  0.500  0.500
Pd  0.557  0.220  0.056
Pd  0.780  0.944  0.443
Pd  0.944  0.443  0.780


Entry 7:
A plane-wave DFT calculation with SCAN was carried out for a PBEsol-optimized structure of LaPd2.

Values from the calculation:
* formation energy from the elements: -0.626 eV/atom
* total magnetic moment: 0.000 μB/cell

a b c (Å): 5.203 5.203 5.203
angles (deg): 135.95 135.95 64.06
Fractional coordinates of all 3 atoms:
La  0.000  0.000  0.000
Pd  0.250  0.750  0.500
Pd  0.750  0.250  0.500


Entry 8:
A plane-wave DFT calculation with SCAN was carried out for a PBEsol-optimized structure of LaPd3Pt.

Values from the calculation:
* formation energy from the elements: 0.044 eV/atom
* total magnetic moment: 0.000 μB/cell

a b c (Å): 4.840 4.840 4.840
angles (deg): 90.00 90.00 90.00
Fractional coordinates of all 5 atoms:
La  0.000  0.000  0.000
Pd  0.000  0.500  0.500
Pd  0.500  0.000  0.500
Pd  0.500  0.500  0.000
Pt  0.500  0.500  0.500


Entry 9:
A plane-wave DFT calculation with SCAN was carried out for a PBEsol-optimized structure of La2PdRh2.

Values from the calculation:
* formation energy from the elements: -0.738 eV/atom
* total magnetic moment: 0.000 μB/cell

a b c (Å): 7.343 7.343 3.867
angles (deg): 90.00 90.00 90.00
Fractional coordinates of all 10 atoms:
La  0.179  0.321  0.000
La  0.321  0.821  0.000
La  0.679  0.179  0.000
La  0.821  0.679  0.000
Pd  0.000  0.000  0.500
Pd  0.500  0.500  0.500
Rh  0.132  0.632  0.500
Rh  0.368  0.132  0.500
Rh  0.632  0.868  0.500
Rh  0.868  0.368  0.500


Entry 10:
A plane-wave DFT calculation with SCAN was carried out for a PBEsol-optimized structure of LaZn2PdRu.

Values from the calculation:
* formation energy from the elements: 0.151 eV/atom
* total magnetic moment: 0.000 μB/cell

a b c (Å): 4.733 4.733 4.986
angles (deg): 90.00 90.00 90.00
Fractional coordinates of all 5 atoms:
La  0.000  0.000  0.000
Zn  0.000  0.500  0.500
Zn  0.500  0.000  0.500
Pd  0.500  0.500  0.000
Ru  0.000  0.000  0.500


Entry 11:
A plane-wave DFT calculation with SCAN was carried out for a PBEsol-optimized structure of LaPdS2.

Values from the calculation:
* energy relative to the elements, uncorrected: -1264 meV per atom
* total magnetic moment: 0.000 μB/cell

a b c (Å): 8.076 8.076 8.076
angles (deg): 143.14 143.14 53.12
Fractional coordinates of all 8 atoms:
La  0.000  0.000  0.000
La  0.750  0.250  0.500
Pd  0.250  0.750  0.500
Pd  0.500  0.500  0.000
S  0.193  0.625  0.068
S  0.375  0.443  0.568
S  0.557  0.125  0.932
S  0.875  0.807  0.432


Entry 12:
A plane-wave DFT calculation with SCAN was carried out for a PBEsol-optimized structure of La3PdS.

Values from the calculation:
* energy relative to the elements, uncorrected: -736 meV per atom
* total magnetic moment: 0.000 μB/cell

a b c (Å): 5.353 5.353 5.353
angles (deg): 90.00 90.00 90.00
Fractional coordinates of all 5 atoms:
La  0.000  0.000  0.500
La  0.000  0.500  0.000
La  0.500  0.000  0.000
Pd  0.500  0.500  0.500
S  0.000  0.000  0.000


no.,final energy (eV/f.u.),DOS(E_F) (states/eV/cell)
1,-193.8,3.38
2,-193.6,4.63
3,-193.0,3.56
4,-144.7,0.92
5,-77.7,2.69
6,-266.8,7.08
7,-110.5,1.95
8,-211.4,5.38
9,-190.2,4.20
10,-137.0,2.52
11,-100.2,5.88
12,-175.4,7.10